Computed, not measured: crystalline HfTi2Nb at its relaxed geometry at the PBE level of DFT.

## Properties
Its energy above the most stable polymorph in this dataset is 173 kJ/mol of formula units. Its total energy is -8.459 eV per atom. As for the space-group type: I-42d, No. 122. The calculated formation energy is 0.494 eV per atom. Its calculated density is 7.95 Mg/m³.

Cell lengths 5.9145, 5.9145, 5.9145 Å; angles 103.51, 103.51, 122.20 degrees
Closest atoms and distances in Å follow each position.
Atoms (fractional coordinates):
Hf1 0.0000 0.0000 0.0000  4 Ti 2.76, 2 Nb 2.86
Hf2 0.7500 0.2500 0.5000  4 Ti 2.76, 2 Nb 2.86
Ti1 0.1387 0.6250 0.0137  2 Nb 2.62, 2 Hf 2.76, 2 Ti 2.87
Ti2 0.3750 0.3887 0.5137  2 Nb 2.62, 2 Hf 2.76, 2 Ti 2.87
Ti3 0.6113 0.1250 0.9863  2 Nb 2.62, 2 Hf 2.76, 2 Ti 2.87
Ti4 0.8750 0.8613 0.4863  2 Nb 2.62, 2 Hf 2.76, 2 Ti 2.87
Nb1 0.2500 0.7500 0.5000  4 Ti 2.62, 2 Hf 2.86
Nb2 0.5000 0.5000 0.0000  4 Ti 2.62, 2 Hf 2.86

Computed, not measured: crystalline TaO2 at its relaxed geometry at the PBE level of DFT.

## Properties
Its formation energy without anion corrections is -2.580 eV per atom. Its total energy is -9.837 eV per atom. As for the space-group type: P4_2/mnm, No. 136. Its calculated density is 9.82 Mg/m³.

Cell lengths 5.0032, 5.0032, 2.8780 Å; angles 90.00, 90.00, 90.00 degrees
Closest atoms and distances in Å follow each position.
Atoms (fractional coordinates):
Ta1 0.0000 0.0000 0.0000  6 O 2.03-2.09
Ta2 0.5000 0.5000 0.5000  6 O 2.03-2.09
O1 0.2138 0.2138 0.5000  3 Ta 2.03-2.09
O2 0.2862 0.7138 0.0000  3 Ta 2.03-2.09
O3 0.7138 0.2862 0.0000  3 Ta 2.03-2.09
O4 0.7862 0.7862 0.5000  3 Ta 2.03-2.09

Computed, not measured: crystalline CuSiHg2As at its relaxed geometry at the PBE level of DFT.

## Properties
Its formation energy without anion corrections is 0.744 eV per atom. Its total energy is -2.211 eV per atom. As for the space-group type: P4/mmm, No. 123. Its calculated density is 7.34 Mg/m³.

Cell lengths 5.3934, 5.3934, 4.4165 Å; angles 90.00, 90.00, 90.00 degrees
Closest atoms and distances in Å follow each position.
Atoms (fractional coordinates):
Cu1 0.0000 0.0000 0.0000  2 As 2.21
Si1 0.5000 0.5000 0.0000  8 Hg 3.49, 4 Cu 3.81
Hg1 0.0000 0.5000 0.5000  2 As 2.70
Hg2 0.5000 0.0000 0.5000  2 As 2.70
As1 0.0000 0.0000 0.5000  2 Cu 2.21

Computed, not measured: crystalline Rb2RhO2F2 at its relaxed geometry at the PBE level of DFT.

## Properties
Its formation energy without anion corrections is -1.606 eV per atom. Its total energy is -4.884 eV per atom. As for the space-group type: I4/mmm, No. 139. Its calculated density is 4.84 Mg/m³.

Cell lengths 7.7695, 7.7695, 7.7695 Å; angles 149.85, 149.85, 43.16 degrees
Closest atoms and distances in Å follow each position.
Atoms (fractional coordinates):
Rb1 0.1456 0.1456 0.0000  5 F 2.86-3.00, 4 O 2.92
Rb2 0.8544 0.8544 0.0000  5 F 2.86-3.00, 4 O 2.92
Rh1 0.5000 0.5000 0.0000  4 O 2.02, 2 F 2.12
O1 0.0000 0.5000 0.5000  2 Rh 2.02
O2 0.5000 0.0000 0.5000  2 Rh 2.02
F1 0.3530 0.3530 0.0000  1 Rh 2.12
F2 0.6470 0.6470 0.0000  1 Rh 2.12